[1]
## Ba2CuSiPt6 (GGA-PBE)

Data for Ba2CuSiPt6 after structural relaxation.

The crystal system is trigonal. Its raw total energy is -5.5667 eV per atom. Its formation energy without anion corrections is -606 meV/atom.

The space group is R-3 (No. 148, hexagonal axes) and the conventional cell measures 6.8925, 6.8925 and 15.6536 Å, with angles of 90.00, 90.00 and 120.00 degrees. The inequivalent atoms are Ba at (0.0000, 0.0000, 0.2004), Cu at (0.0000, 0.0000, 0.0000), Si at (0.0000, 0.0000, 0.5000) and Pt at (0.0687, 0.5353, 0.2869).

[2]
## CrNiPdPt (GGA-PBE)

Data for CrNiPdPt after structural relaxation.

For the energy above the lowest structure with this stoichiometry, the calculation gives 0.00 eV/f.u. The formation energy comes out at -0.1251 eV per atom. The crystal system is tetragonal. Its raw total energy is -6.7847 eV per atom.

The space group is I-4m2 (No. 119) and the conventional cell measures 3.851, 3.851 and 7.411 Å, with angles of 90.00, 90.00 and 90.00 degrees. The inequivalent atoms are Cr at (0.000, 0.000, 0.000), Ni at (0.000, 0.000, 0.500), Pd at (0.000, 0.500, 0.750) and Pt at (0.000, 0.500, 0.250).

[3]
## Na4Np3RhS8 (GGA-PBE)

Data for Na4Np3RhS8 after structural relaxation.

The crystal system is trigonal. Its raw total energy is -6.4481 eV per atom. Its formation energy without anion corrections is -1169 meV/atom.

The space group is R-3m (No. 166, hexagonal axes) and the conventional cell measures 7.7150, 7.7150 and 20.2256 Å, with angles of 90.00, 90.00 and 120.00 degrees. The inequivalent atoms are Na at (0.0000, 0.0000, 0.0000), Na at (0.0000, 0.5000, 0.0000), Np at (0.0000, 0.5000, 0.5000), Rh at (0.0000, 0.0000, 0.5000), S at (0.0000, 0.0000, 0.2441) and S at (0.0159, 0.5080, 0.2400).

[4]
## BaIn2GaRu (GGA-PBE)

Data for BaIn2GaRu after structural relaxation.

The formation energy comes out at -0.3252 eV per atom. The crystal system is tetragonal. Its raw total energy is -4.2657 eV per atom.

The space group is P4/mmm (No. 123) and the conventional cell measures 5.215, 5.215 and 4.915 Å, with angles of 90.00, 90.00 and 90.00 degrees. The inequivalent atoms are Ba at (0.000, 0.000, 0.000), In at (0.000, 0.500, 0.500), Ga at (0.500, 0.500, 0.000) and Ru at (0.500, 0.500, 0.500).